A relaxed Co2PF crystal. Source: the Alexandria database, functional PBE+U.

```
Co2PF
1.0
5.116 0.000 0.000
0.000 5.116 0.000
0.000 0.000 9.840
Co P F
8 4 4
direct
0.230 0.250 0.125
0.250 0.730 0.375
0.250 0.770 0.875
0.270 0.250 0.625
0.730 0.750 0.625
0.750 0.230 0.875
0.750 0.270 0.375
0.770 0.750 0.125
0.000 0.000 0.500
0.000 0.500 0.750
0.500 0.000 0.250
0.500 0.500 0.000
0.000 0.000 0.000
0.000 0.500 0.250
0.500 0.000 0.750
0.500 0.500 0.500
```

Computed properties:
distance to the lowest polymorph of the same formula: 0 meV/atom